[1]
Material: AgSeCl
Method: DFT, PBE-GGA
State: relaxed

a = 7.2469 Å, b = 6.6565 Å, c = 3.8125 Å
α = 82.84°, β = 65.70°, γ = 31.47°
Fractional coordinates of all 3 atoms:
Ag1 0.0000 0.0000 0.0000
Se1 0.6392 0.6392 0.3608
Cl1 0.3664 0.3664 0.6336

* SG: No. 42
* total DFT energy (no corrections): -2.71 eV per atom
* distance to the lowest polymorph of the same formula: 0.2667 eV/atom
* formation energy (no corrections): 0.0146 eV/atom
* theoretical density: 4.8 g cm⁻³
* V: 77 Å³/cell

[2]
Material: Ag4SeCl3
Method: DFT, PBE-GGA
State: relaxed

a = 8.2967 Å, b = 7.5286 Å, c = 7.0540 Å
α = 90.00°, β = 90.00°, γ = 90.00°
Fractional coordinates of all 16 atoms:
Ag1 0.0000 0.1618 0.0000
Ag2 0.0000 0.8327 0.4817
Ag3 0.2381 0.3226 0.4898
Ag4 0.2619 0.6774 0.9898
Ag5 0.5000 0.1673 0.9817
Ag6 0.5000 0.8382 0.5000
Ag7 0.7381 0.6774 0.9898
Ag8 0.7619 0.3226 0.4898
Se1 0.0000 0.1506 0.3596
Se2 0.5000 0.8494 0.8596
Cl1 0.0000 0.8311 0.8587
Cl2 0.2466 0.3481 0.8619
Cl3 0.2534 0.6519 0.3619
Cl4 0.5000 0.1689 0.3587
Cl5 0.7466 0.6519 0.3619
Cl6 0.7534 0.3481 0.8619

* SG: No. 31
* total DFT energy (no corrections): -2.82 eV per atom
* distance to the lowest polymorph of the same formula: 0.0148 eV/atom
* formation energy (no corrections): -0.2660 eV/atom
* theoretical density: 4.6 g cm⁻³
* V: 441 Å³/cell

[3]
Material: Ag4SeCl
Method: DFT, PBE-GGA
State: relaxed

a = 7.7695 Å, b = 7.7695 Å, c = 6.3126 Å
α = 107.30°, β = 107.30°, γ = 120.79°
Fractional coordinates of all 12 atoms:
Ag1 0.0010 0.6083 0.2264
Ag2 0.1808 0.2071 0.2690
Ag3 0.2071 0.1808 0.7690
Ag4 0.3917 0.9990 0.2736
Ag5 0.6083 0.0010 0.7264
Ag6 0.7929 0.8192 0.2310
Ag7 0.8192 0.7929 0.7310
Ag8 0.9990 0.3917 0.7736
Se1 0.3949 0.6051 0.2500
Se2 0.6051 0.3949 0.7500
Cl1 0.1995 0.8005 0.7500
Cl2 0.8005 0.1995 0.2500

* SG: No. 15
* total DFT energy (no corrections): -2.83 eV per atom
* distance to the lowest polymorph of the same formula: 0.0821 eV/atom
* formation energy (no corrections): -0.0435 eV/atom
* theoretical density: 6.9 g cm⁻³
* V: 261 Å³/cell